DFT (GGA-PBE) results for a relaxed structure of LaSc2Ga2.

Cell: 6.688 11.082 14.637 Å, 90.00 90.00 90.00°
Space group Fddd (No. 70, origin choice 2)
Symmetry-distinct sites (fractional):
La: 0.125 0.125 0.125 x8
Sc: 0.125 0.125 0.520 x16
Ga: 0.125 0.336 0.625 x16

Output
The total energy is -196.84 eV/cell. As for the total magnetization: 0.00 μB/f.u. For the formation enthalpy at 0 K, the calculation gives -0.96 eV per formula unit.

---

DFT (GGA-PBE) results for a relaxed structure of La2ScGa.

Cell: 3.4540 3.4540 35.6985 Å, 90.00 90.00 120.00°
Space group R-3m (No. 166, hexagonal axes)
Symmetry-distinct sites (fractional):
La: 0.0000 0.0000 0.0885 x6
Sc: 0.0000 0.0000 0.5000 x3
Ga: 0.0000 0.0000 0.0000 x3

Output
The total energy is -55.53 eV/cell. As for the total magnetization: 0.00 μB/f.u. For the formation enthalpy at 0 K, the calculation gives 0.70 eV per formula unit.

---

DFT (GGA-PBE) results for a relaxed structure of La3Sc2Ga4.

Cell: 11.984 4.521 9.131 Å, 90.00 108.30 90.00°
Space group C2/m (No. 12)
Symmetry-distinct sites (fractional):
La: 0.000 0.000 0.000 x2
La: 0.116 0.500 0.698 x4
Sc: 0.189 0.500 0.353 x4
Ga: 0.080 0.000 0.414 x4
Ga: 0.227 0.500 0.065 x4

Output
The total energy is -88.14 eV/cell. As for the total magnetization: 0.00 μB/f.u. For the formation enthalpy at 0 K, the calculation gives -4.52 eV per formula unit.

---

DFT (GGA-PBE) results for a relaxed structure of LaSc2Ga3.

Cell: 3.477 3.477 10.580 Å, 90.00 90.00 90.00°
Space group P4/mmm (No. 123)
Symmetry-distinct sites (fractional):
La: 0.000 0.000 0.000 x1
Sc: 0.000 0.000 0.347 x2
Ga: 0.500 0.500 0.200 x2
Ga: 0.500 0.500 0.500 x1

Output
The total energy is -30.17 eV/cell. As for the total magnetization: 0.00 μB/f.u. For the formation enthalpy at 0 K, the calculation gives -3.50 eV per formula unit.

---

DFT (GGA-PBE) results for a relaxed structure of LaScGa.

Cell: 4.580 4.580 7.612 Å, 90.00 90.00 90.00°
Space group P4/nmm (No. 129, origin choice 2)
Symmetry-distinct sites (fractional):
La: 0.250 0.250 0.146 x2
Sc: 0.250 0.750 0.500 x2
Ga: 0.250 0.250 0.727 x2

Output
The total energy is -31.29 eV/cell. As for the total magnetization: 0.86 μB/f.u. For the formation enthalpy at 0 K, the calculation gives -1.36 eV per formula unit.

---

DFT (GGA-PBE) results for a relaxed structure of La3ScGa2.

Cell: 6.601 15.934 6.520 Å, 90.00 90.00 90.00°
Space group Ibam (No. 72)
Symmetry-distinct sites (fractional):
La: 0.000 0.000 0.250 x4
La: 0.247 0.320 0.000 x8
Sc: 0.000 0.500 0.250 x4
Ga: 0.224 0.376 0.500 x8

Output
The total energy is -118.01 eV/cell. As for the total magnetization: 0.48 μB/f.u. For the formation enthalpy at 0 K, the calculation gives -2.33 eV per formula unit.

---

DFT (GGA-PBE) results for a relaxed structure of La3Sc4Ga4.

Cell: 4.681 7.526 15.709 Å, 90.00 90.00 90.00°
Space group Immm (No. 71)
Symmetry-distinct sites (fractional):
La: 0.000 0.000 0.000 x2
La: 0.000 0.500 0.113 x4
Sc: 0.000 0.296 0.327 x8
Ga: 0.000 0.000 0.211 x4
Ga: 0.000 0.185 0.500 x4

Output
The total energy is -114.58 eV/cell. As for the total magnetization: 0.01 μB/f.u. For the formation enthalpy at 0 K, the calculation gives -5.07 eV per formula unit.

---

DFT (GGA-PBE) results for a relaxed structure of LaSc3Ga.

Cell: 5.196 5.196 5.196 Å, 90.00 90.00 90.00°
Space group Pm-3m (No. 221)
Symmetry-distinct sites (fractional):
La: 0.000 0.000 0.000 x1
Sc: 0.000 0.000 0.500 x3
Ga: 0.500 0.500 0.500 x1

Output
The total energy is -22.24 eV/cell. As for the total magnetization: 0.00 μB/f.u. For the formation enthalpy at 0 K, the calculation gives 4.71 eV per formula unit.

---

DFT (GGA-PBE) results for a relaxed structure of La2ScGa.

Cell: 8.842 8.842 6.053 Å, 90.00 90.00 90.00°
Space group I-42d (No. 122)
Symmetry-distinct sites (fractional):
La: 0.213 0.750 0.125 x8
Sc: 0.000 0.000 0.500 x4
Ga: 0.000 0.000 0.000 x4

Output
The total energy is -76.55 eV/cell. As for the total magnetization: 0.00 μB/f.u. For the formation enthalpy at 0 K, the calculation gives 0.08 eV per formula unit.

---

DFT (GGA-PBE) results for a relaxed structure of LaSmScGa.

Cell: 7.576 7.576 7.576 Å, 90.00 90.00 90.00°
Space group F-43m (No. 216)
Symmetry-distinct sites (fractional):
La: 0.000 0.000 0.000 x4
Sm: 0.000 0.000 0.500 x4
Sc: 0.250 0.250 0.250 x4
Ga: 0.250 0.250 0.750 x4

Output
The total energy is -78.47 eV/cell. As for the total magnetization: 1.14 μB/f.u. For the formation enthalpy at 0 K, the calculation gives -0.61 eV per formula unit.

---

DFT (GGA-PBE) results for a relaxed structure of LaScGaSn.

Cell: 7.391 7.391 7.391 Å, 90.00 90.00 90.00°
Space group F-43m (No. 216)
Symmetry-distinct sites (fractional):
La: 0.000 0.000 0.000 x4
Sc: 0.000 0.000 0.500 x4
Ga: 0.250 0.250 0.250 x4
Sn: 0.250 0.250 0.750 x4

Output
The total energy is -81.59 eV/cell. As for the total magnetization: 0.00 μB/f.u. For the formation enthalpy at 0 K, the calculation gives -2.11 eV per formula unit.

---

DFT (GGA-PBE) results for a relaxed structure of LaTbScGa.

Cell: 7.529 7.529 7.529 Å, 90.00 90.00 90.00°
Space group F-43m (No. 216)
Symmetry-distinct sites (fractional):
La: 0.000 0.000 0.000 x4
Tb: 0.000 0.000 0.500 x4
Sc: 0.250 0.250 0.250 x4
Ga: 0.250 0.250 0.750 x4

Output
The total energy is -78.16 eV/cell. As for the total magnetization: 1.18 μB/f.u. For the formation enthalpy at 0 K, the calculation gives -0.62 eV per formula unit.

---

DFT (GGA-PBE) results for a relaxed structure of LaScTlGa.

Cell: 7.418 7.418 7.418 Å, 90.00 90.00 90.00°
Space group F-43m (No. 216)
Symmetry-distinct sites (fractional):
La: 0.000 0.000 0.000 x4
Sc: 0.000 0.000 0.500 x4
Tl: 0.250 0.250 0.750 x4
Ga: 0.250 0.250 0.250 x4

Output
The total energy is -73.03 eV/cell. As for the total magnetization: 0.00 μB/f.u. For the formation enthalpy at 0 K, the calculation gives -1.60 eV per formula unit.

---

DFT (GGA-PBE) results for a relaxed structure of LaY2ScGa.

Cell: 5.539 5.539 5.265 Å, 90.00 90.00 90.00°
Space group P4/mmm (No. 123)
Symmetry-distinct sites (fractional):
La: 0.000 0.000 0.000 x1
Y: 0.000 0.500 0.500 x2
Sc: 0.500 0.500 0.000 x1
Ga: 0.500 0.500 0.500 x1

Output
The total energy is -27.02 eV/cell. As for the total magnetization: 0.00 μB/f.u. For the formation enthalpy at 0 K, the calculation gives 0.20 eV per formula unit.

---

DFT (GGA-PBE) results for a relaxed structure of LaYSc2Ga.

Cell: 5.244 5.244 5.514 Å, 90.00 90.00 90.00°
Space group P4/mmm (No. 123)
Symmetry-distinct sites (fractional):
La: 0.000 0.000 0.000 x1
Y: 0.500 0.500 0.000 x1
Sc: 0.000 0.500 0.500 x2
Ga: 0.500 0.500 0.500 x1

Output
The total energy is -26.83 eV/cell. As for the total magnetization: 0.00 μB/f.u. For the formation enthalpy at 0 K, the calculation gives 0.25 eV per formula unit.

---

DFT (GGA-PBE) results for a relaxed structure of LaSc2Zn2Ga2.

Cell: 4.4076 4.4076 26.7822 Å, 90.00 90.00 120.00°
Space group R-3m (No. 166, hexagonal axes)
Symmetry-distinct sites (fractional):
La: 0.0000 0.0000 0.0000 x3
Sc: 0.0000 0.0000 0.1319 x6
Zn: 0.0000 0.0000 0.4145 x6
Ga: 0.0000 0.0000 0.2496 x6

Output
The total energy is -87.56 eV/cell. As for the total magnetization: 0.00 μB/f.u. For the formation enthalpy at 0 K, the calculation gives -2.99 eV per formula unit.

---

DFT (GGA-PBE) results for a relaxed structure of La2ScZn3Ga4.

Cell: 4.366 4.366 11.054 Å, 90.00 90.00 90.00°
Space group P-4m2 (No. 115)
Symmetry-distinct sites (fractional):
La: 0.000 0.500 0.237 x2
Sc: 0.000 0.000 0.500 x1
Zn: 0.000 0.500 0.873 x2
Zn: 0.500 0.500 0.500 x1
Ga: 0.000 0.000 0.000 x1
Ga: 0.000 0.500 0.648 x2
Ga: 0.500 0.500 0.000 x1

Output
The total energy is -37.19 eV/cell. As for the total magnetization: 0.00 μB/f.u. For the formation enthalpy at 0 K, the calculation gives -5.07 eV per formula unit.

---

DFT (GGA-PBE) results for a relaxed structure of LaScZn2Ga2.

Cell: 4.3926 4.3926 7.3519 Å, 90.00 90.00 120.00°
Space group P-3m1 (No. 164)
Symmetry-distinct sites (fractional):
La: 0.0000 0.0000 0.0000 x1
Sc: 0.0000 0.0000 0.5000 x1
Zn: 0.3333 0.6667 0.3037 x2
Ga: 0.3333 0.6667 0.7159 x2

Output
The total energy is -23.24 eV/cell. As for the total magnetization: 0.00 μB/f.u. For the formation enthalpy at 0 K, the calculation gives -3.38 eV per formula unit.

---

DFT (GGA-PBE) results for a relaxed structure of LaGa2Se2.

Cell: 3.818 3.818 17.048 Å, 90.00 90.00 90.00°
Space group I4/mmm (No. 139)
Symmetry-distinct sites (fractional):
La: 0.000 0.000 0.000 x2
Ga: 0.000 0.500 0.250 x4
Se: 0.000 0.000 0.403 x4

Output
The value obtained for the formation energy (no corrections) is -895 meV/atom. The total energy is -44.85 eV/cell. As for the total magnetization: 0.00 μB/f.u.

---

DFT (GGA-PBE) results for a relaxed structure of LaGaSe2.

Cell: 4.366 7.815 5.920 Å, 90.00 90.00 90.00°
Space group Pmn2_1 (No. 31)
Symmetry-distinct sites (fractional):
La: 0.000 0.204 0.000 x2
Ga: 0.000 0.689 0.122 x2
Se: 0.000 0.073 0.499 x2
Se: 0.000 0.567 0.730 x2

Output
The value obtained for the formation energy (no corrections) is -1390 meV/atom. The total energy is -40.97 eV/cell. As for the total magnetization: 0.00 μB/f.u.

---

DFT (GGA-PBE) results for a relaxed structure of La3GaSe6.

Cell: 11.706 14.571 7.028 Å, 90.00 90.00 90.00°
Space group Cmc2_1 (No. 36)
Symmetry-distinct sites (fractional):
La: 0.000 0.103 0.000 x4
La: 0.184 0.400 0.080 x8
Ga: 0.000 0.302 0.627 x4
Se: 0.000 0.284 0.281 x4
Se: 0.000 0.460 0.763 x4
Se: 0.161 0.025 0.291 x8
Se: 0.165 0.238 0.793 x8

Output
The value obtained for the formation energy (no corrections) is -1686 meV/atom. The total energy is -222.31 eV/cell. As for the total magnetization: 0.00 μB/f.u.

---

DFT (GGA-PBE) results for a relaxed structure of LaGaSe2.

Cell: 6.014 6.014 11.469 Å, 90.00 104.05 90.00°
Space group C2 (No. 5)
Symmetry-distinct sites (fractional):
La: 0.171 0.000 0.328 x4
Ga: 0.235 0.801 0.885 x4
Se: 0.195 0.251 0.886 x4
Se: 0.199 0.501 0.393 x4

Output
The value obtained for the formation energy (no corrections) is -1393 meV/atom. The total energy is -81.98 eV/cell. As for the total magnetization: 0.00 μB/f.u.

---

DFT (GGA-PBE) results for a relaxed structure of LaGaSe2.

Cell: 4.115 6.977 7.347 Å, 90.00 106.00 90.00°
Space group P2_1 (No. 4)
Symmetry-distinct sites (fractional):
La: 0.094 0.000 0.188 x2
Ga: 0.167 0.553 0.275 x2
Se: 0.270 0.313 0.542 x2
Se: 0.459 0.814 0.915 x2

Output
The value obtained for the formation energy (no corrections) is -1370 meV/atom. The total energy is -40.81 eV/cell. As for the total magnetization: 0.00 μB/f.u.

---

DFT (GGA-PBE) results for a relaxed structure of LaGaSe2.

Cell: 4.206 7.472 7.596 Å, 107.18 91.22 105.74°
Space group P1 (No. 1)
Symmetry-distinct sites (fractional):
La: 0.000 0.000 0.000 x1
La: 0.282 0.576 0.449 x1
Ga: 0.239 0.389 0.857 x1
Ga: 0.978 0.127 0.516 x1
Se: 0.490 0.001 0.718 x1
Se: 0.630 0.255 0.254 x1
Se: 0.794 0.581 0.754 x1
Se: 0.867 0.785 0.284 x1

Output
The value obtained for the formation energy (no corrections) is -1327 meV/atom. The total energy is -40.46 eV/cell. As for the total magnetization: 0.00 μB/f.u.

---

DFT (GGA-PBE) results for a relaxed structure of La2GaSe2.

Cell: 8.356 8.356 3.966 Å, 90.00 90.00 90.00°
Space group P4/mbm (No. 127)
Symmetry-distinct sites (fractional):
La: 0.163 0.337 0.000 x4
Ga: 0.000 0.000 0.000 x2
Se: 0.142 0.642 0.500 x4

Output
The value obtained for the formation energy (no corrections) is -1269 meV/atom. The total energy is -52.39 eV/cell. As for the total magnetization: 0.00 μB/f.u.